w.
First-principles (PBE-GGA) data for a geometry-optimized RbAl2Br structure, as listed in Alexandria via LeMat-Bulk.

Results
For the magnetic moment, the calculation gives 0.00 μB per atom.

Cell: 12.250 12.250 12.250 Å, 157.33 157.33 32.28°
Positions (direct):
Rb 0.000 0.000 0.000
Rb 0.750 0.250 0.500
Al 0.267 0.625 0.142
Al 0.375 0.517 0.642
Al 0.483 0.125 0.858
Al 0.875 0.733 0.358
Br 0.250 0.750 0.500
Br 0.500 0.500 0.000



x.
First-principles (PBE-GGA) data for a geometry-optimized RbAl2Br structure, as listed in Alexandria via LeMat-Bulk.

Results
For the magnetic moment, the calculation gives 0.00 μB per atom.

Cell: 5.715 5.715 5.715 Å, 60.00 60.00 60.00°
Positions (direct):
Rb 0.000 0.000 0.000
Al 0.250 0.250 0.250
Al 0.750 0.750 0.750
Br 0.500 0.500 0.500



Q: Which of them is the most stable? A: w.



w.
First-principles (PBE-GGA) data for a geometry-optimized RbAlSe2Br structure, as listed in Alexandria via LeMat-Bulk.

Results
For the magnetic moment, the calculation gives 0.00 μB per atom.

Cell: 4.930 4.930 5.761 Å, 90.00 90.00 90.00°
Positions (direct):
Rb 0.000 0.000 0.000
Al 0.500 0.500 0.500
Se 0.000 0.500 0.500
Se 0.500 0.000 0.500
Br 0.500 0.500 0.000



x.
First-principles (PBE-GGA) data for a geometry-optimized RbAlSe2Br structure, as listed in Alexandria via LeMat-Bulk.

Results
For the magnetic moment, the calculation gives 0.60 μB per atom.

Cell: 6.285 6.285 6.320 Å, 90.00 90.00 90.00°
Positions (direct):
Rb 0.000 0.000 0.000
Al 0.500 0.500 0.500
Se 0.000 0.500 0.000
Se 0.500 0.000 0.000
Br 0.000 0.000 0.500



Q: Which of them is the most stable? A: w.



w.
First-principles (PBE-GGA) data for a geometry-optimized AlReBr2 structure, as listed in Alexandria via LeMat-Bulk.

Results
For the magnetic moment, the calculation gives 0.00 μB per atom.

Cell: 4.687 4.687 4.687 Å, 60.00 60.00 60.00°
Positions (direct):
Al 0.000 0.000 0.000
Re 0.500 0.500 0.500
Br 0.250 0.250 0.250
Br 0.750 0.750 0.750



x.
First-principles (PBE-GGA) data for a geometry-optimized AlReBr2 structure, as listed in Alexandria via LeMat-Bulk.

Results
For the magnetic moment, the calculation gives 0.00 μB per atom.

Cell: 3.340 3.340 9.736 Å, 90.00 90.00 124.30°
Positions (direct):
Al 0.000 0.000 0.000
Re 0.500 0.500 0.210
Br 0.000 0.000 0.413
Br 0.500 0.500 0.799



y.
First-principles (PBE-GGA) data for a geometry-optimized AlReBr2 structure, as listed in Alexandria via LeMat-Bulk.

Results
For the magnetic moment, the calculation gives 0.00 μB per atom.

Cell: 3.270 3.270 9.655 Å, 90.00 90.00 124.35°
Positions (direct):
Al 0.000 0.000 0.000
Re 0.000 0.000 0.500
Br 0.500 0.500 0.288
Br 0.500 0.500 0.712



Q: Which of them is the most stable? A: x.



w.
First-principles (PBE-GGA) data for a geometry-optimized AlReBr2 structure, as listed in Alexandria via LeMat-Bulk.

Results
For the magnetic moment, the calculation gives 0.00 μB per atom.

Cell: 3.143 3.143 8.603 Å, 90.00 90.00 90.00°
Positions (direct):
Al 0.000 0.000 0.000
Re 0.000 0.000 0.500
Br 0.500 0.500 0.313
Br 0.500 0.500 0.687



x.
First-principles (PBE-GGA) data for a geometry-optimized AlReBr2 structure, as listed in Alexandria via LeMat-Bulk.

Results
For the magnetic moment, the calculation gives 0.12 μB per atom.

Cell: 4.752 3.113 5.287 Å, 90.00 109.34 90.00°
Positions (direct):
Al 0.000 0.000 0.000
Re 0.000 0.500 0.500
Br 0.500 0.000 0.500
Br 0.500 0.500 0.000



Q: Which of them is the most stable? A: x.



w.
First-principles (PBE-GGA) data for a geometry-optimized AlReBr2 structure, as listed in Alexandria via LeMat-Bulk.

Results
For the magnetic moment, the calculation gives 0.00 μB per atom.

Cell: 9.428 9.428 9.428 Å, 19.98 19.98 19.98°
Positions (direct):
Al 0.000 0.000 0.000
Re 0.266 0.266 0.266
Br 0.535 0.535 0.535
Br 0.733 0.733 0.733



x.
First-principles (PBE-GGA) data for a geometry-optimized AlReBr2 structure, as listed in Alexandria via LeMat-Bulk.

Results
For the magnetic moment, the calculation gives 0.00 μB per atom.

Cell: 7.982 7.982 7.982 Å, 157.11 149.91 38.14°
Positions (direct):
Al 0.000 0.000 0.000
Re 0.500 0.500 0.000
Br 0.358 0.858 0.500
Br 0.642 0.142 0.500



y.
First-principles (PBE-GGA) data for a geometry-optimized AlReBr2 structure, as listed in Alexandria via LeMat-Bulk.

Results
For the magnetic moment, the calculation gives 0.00 μB per atom.

Cell: 4.935 4.935 3.085 Å, 90.00 90.00 90.49°
Positions (direct):
Al 0.000 0.000 0.000
Re 0.500 0.500 0.000
Br 0.000 0.500 0.500
Br 0.500 0.000 0.500



z.
First-principles (PBE-GGA) data for a geometry-optimized AlReBr2 structure, as listed in Alexandria via LeMat-Bulk.

Results
For the magnetic moment, the calculation gives 0.00 μB per atom.

Cell: 5.069 5.069 5.069 Å, 129.91 129.91 73.56°
Positions (direct):
Al 0.000 0.000 0.000
Re 0.750 0.250 0.500
Br 0.250 0.750 0.500
Br 0.500 0.500 0.000



Q: Which of them is the most stable? A: w.



w.
First-principles (PBE-GGA) data for a geometry-optimized AlReBr2 structure, as listed in Alexandria via LeMat-Bulk.

Results
For the magnetic moment, the calculation gives 0.00 μB per atom.

Cell: 3.646 4.314 5.167 Å, 90.00 96.67 90.00°
Positions (direct):
Al 0.000 0.000 0.000
Re 0.500 0.000 0.500
Br 0.309 0.500 0.730
Br 0.691 0.500 0.270



x.
First-principles (PBE-GGA) data for a geometry-optimized AlReBr2 structure, as listed in Alexandria via LeMat-Bulk.

Results
For the magnetic moment, the calculation gives 0.00 μB per atom.

Cell: 3.126 3.126 8.538 Å, 90.00 90.00 90.00°
Positions (direct):
Al 0.000 0.000 0.000
Re 0.500 0.500 0.812
Br 0.000 0.000 0.623
Br 0.500 0.500 0.218



Q: Which of them is the most stable? A: x.



w.
First-principles (PBE-GGA) data for a geometry-optimized AlReBr2 structure, as listed in Alexandria via LeMat-Bulk.

Results
For the magnetic moment, the calculation gives 0.04 μB per atom.

Cell: 4.849 4.849 7.622 Å, 107.99 107.99 39.50°
Positions (direct):
Al 0.000 0.000 0.000
Re 0.280 0.280 0.000
Br 0.694 0.694 0.722
Br 0.845 0.845 0.278



x.
First-principles (PBE-GGA) data for a geometry-optimized AlReBr2 structure, as listed in Alexandria via LeMat-Bulk.

Results
For the magnetic moment, the calculation gives 0.00 μB per atom.

Cell: 6.828 6.828 6.828 Å, 97.80 97.80 136.76°
Positions (direct):
Al 0.000 0.000 0.000
Al 0.750 0.250 0.500
Re 0.250 0.750 0.500
Re 0.500 0.500 0.000
Br 0.263 0.625 0.138
Br 0.375 0.513 0.638
Br 0.487 0.125 0.862
Br 0.875 0.737 0.362



Q: Which of them is the most stable? A: w.



w.
First-principles (PBE-GGA) data for a geometry-optimized AlReBr structure, as listed in Alexandria via LeMat-Bulk.

Results
For the magnetic moment, the calculation gives 0.00 μB per atom.

Cell: 4.388 4.388 4.388 Å, 60.00 60.00 60.00°
Positions (direct):
Al 0.000 0.000 0.000
Re 0.750 0.750 0.750
Br 0.250 0.250 0.250



x.
First-principles (PBE-GGA) data for a geometry-optimized AlReBr structure, as listed in Alexandria via LeMat-Bulk.

Results
For the magnetic moment, the calculation gives 0.00 μB per atom.

Cell: 4.467 4.467 2.920 Å, 90.00 90.00 120.00°
Positions (direct):
Al 0.000 0.000 0.000
Re 0.667 0.333 0.500
Br 0.333 0.667 0.500



y.
First-principles (PBE-GGA) data for a geometry-optimized AlReBr structure, as listed in Alexandria via LeMat-Bulk.

Results
For the magnetic moment, the calculation gives 0.02 μB per atom.

Cell: 4.363 4.363 4.363 Å, 60.00 60.00 60.00°
Positions (direct):
Al 0.000 0.000 0.000
Re 0.250 0.250 0.250
Br 0.500 0.500 0.500



Q: Which of them is the most stable? A: x.



w.
First-principles (PBE-GGA) data for a geometry-optimized AlReBr3 structure, as listed in Alexandria via LeMat-Bulk.

Results
For the magnetic moment, the calculation gives 1.15 μB per atom.

Cell: 5.254 5.254 5.254 Å, 90.00 90.00 90.00°
Positions (direct):
Al 0.000 0.000 0.000
Re 0.500 0.500 0.500
Br 0.000 0.000 0.500
Br 0.000 0.500 0.000
Br 0.500 0.000 0.000



x.
First-principles (PBE-GGA) data for a geometry-optimized AlReBr3 structure, as listed in Alexandria via LeMat-Bulk.

Results
For the magnetic moment, the calculation gives 0.68 μB per atom.

Cell: 5.256 5.256 5.256 Å, 90.00 90.00 90.00°
Positions (direct):
Al 0.000 0.000 0.000
Re 0.500 0.500 0.500
Br 0.000 0.500 0.500
Br 0.500 0.000 0.500
Br 0.500 0.500 0.000



Q: Which of them is the most stable? A: x.



w.
First-principles (PBE-GGA) data for a geometry-optimized AlRh2Br2 structure, as listed in Alexandria via LeMat-Bulk.

Results
For the magnetic moment, the calculation gives 0.00 μB per atom.

Cell: 6.537 6.537 4.779 Å, 90.00 90.00 90.00°
Positions (direct):
Al 0.000 0.000 0.000
Al 0.500 0.500 0.000
Rh 0.139 0.361 0.000
Rh 0.361 0.861 0.000
Rh 0.639 0.139 0.000
Rh 0.861 0.639 0.000
Br 0.210 0.290 0.500
Br 0.290 0.790 0.500
Br 0.710 0.210 0.500
Br 0.790 0.710 0.500



x.
First-principles (PBE-GGA) data for a geometry-optimized AlRh2Br2 structure, as listed in Alexandria via LeMat-Bulk.

Results
For the magnetic moment, the calculation gives 0.00 μB per atom.

Cell: 5.305 5.305 5.305 Å, 120.34 120.34 89.41°
Positions (direct):
Al 0.000 0.000 0.000
Rh 0.306 0.306 0.000
Rh 0.694 0.694 0.000
Br 0.250 0.750 0.500
Br 0.750 0.250 0.500



Q: Which of them is the most stable? A: w.



w.
First-principles (PBE-GGA) data for a geometry-optimized AlRu2Br structure, as listed in Alexandria via LeMat-Bulk.

Results
For the magnetic moment, the calculation gives 0.00 μB per atom.

Cell: 3.074 3.074 6.381 Å, 90.00 90.00 90.00°
Positions (direct):
Al 0.000 0.000 0.000
Ru 0.500 0.500 0.228
Ru 0.500 0.500 0.772
Br 0.000 0.000 0.500



x.
First-principles (PBE-GGA) data for a geometry-optimized AlRu2Br structure, as listed in Alexandria via LeMat-Bulk.

Results
For the magnetic moment, the calculation gives 0.00 μB per atom.

Cell: 5.427 5.427 5.427 Å, 148.06 132.79 58.14°
Positions (direct):
Al 0.000 0.000 0.000
Ru 0.496 0.496 0.000
Ru 0.755 0.255 0.500
Br 0.270 0.770 0.500



y.
First-principles (PBE-GGA) data for a geometry-optimized AlRu2Br structure, as listed in Alexandria via LeMat-Bulk.

Results
For the magnetic moment, the calculation gives 0.00 μB per atom.

Cell: 8.372 8.372 8.372 Å, 20.82 20.82 20.82°
Positions (direct):
Al 0.000 0.000 0.000
Ru 0.258 0.258 0.258
Ru 0.511 0.511 0.511
Br 0.750 0.750 0.750



Q: Which of them is the most stable? A: w.



w.
First-principles (PBE-GGA) data for a geometry-optimized AlRuSeBr2 structure, as listed in Alexandria via LeMat-Bulk.

Results
For the magnetic moment, the calculation gives 0.67 μB per atom.

Cell: 5.017 5.017 5.020 Å, 90.00 90.00 90.00°
Positions (direct):
Al 0.000 0.000 0.000
Ru 0.500 0.500 0.500
Se 0.000 0.000 0.500
Br 0.000 0.500 0.000
Br 0.500 0.000 0.000



x.
First-principles (PBE-GGA) data for a geometry-optimized AlRuSeBr2 structure, as listed in Alexandria via LeMat-Bulk.

Results
For the magnetic moment, the calculation gives 0.00 μB per atom.

Cell: 5.334 5.334 4.646 Å, 90.00 90.00 90.00°
Positions (direct):
Al 0.000 0.000 0.000
Ru 0.500 0.500 0.500
Se 0.500 0.500 0.000
Br 0.000 0.500 0.500
Br 0.500 0.000 0.500



Q: Which of them is the most stable? A: x.